Compound: NdDyH4
Source: Alexandria via LeMat-Bulk
Functional: PBE
Structure: optimized geometry

a = 3.7576 Å, b = 3.7576 Å, c = 5.3511 Å
α = 90.00°, β = 90.00°, γ = 90.00°
Atoms (fractional coordinates):
Nd 0.0000 0.0000 0.0000
Dy 0.5000 0.5000 0.5000
H 0.0000 0.5000 0.2657
H 0.0000 0.5000 0.7343
H 0.5000 0.0000 0.2657
H 0.5000 0.0000 0.7343

Properties
Theoretical density in g/cm3: 6.8
SG: P4/mmm
Total energy in eV/cell: -26.84

Compound: Li2MoW
Source: Alexandria via LeMat-Bulk
Functional: PBE
Structure: optimized geometry

a = 2.7545 Å, b = 2.7545 Å, c = 29.9734 Å
α = 90.00°, β = 90.00°, γ = 120.00°
Atoms (fractional coordinates):
Li 0.0000 0.0000 0.0000
Li 0.0000 0.0000 0.2446
Li 0.3333 0.6667 0.6667
Li 0.3333 0.6667 0.9113
Li 0.6667 0.3333 0.3333
Li 0.6667 0.3333 0.5779
Mo 0.0000 0.0000 0.4960
Mo 0.3333 0.6667 0.1626
Mo 0.6667 0.3333 0.8293
W 0.0000 0.0000 0.7482
W 0.3333 0.6667 0.4149
W 0.6667 0.3333 0.0815

Properties
Energy of formation from the pure elements in eV per atom: 0.3576
Distance to the lowest polymorph of the same formula in meV per atom: 121.8
Theoretical density in g/cm3: 7.4
SG: R3m
Total energy in eV/cell: -78.54

Compound: SrSc4Cr
Source: Alexandria via LeMat-Bulk
Functional: PBE
Structure: optimized geometry

a = 6.1756 Å, b = 6.1756 Å, c = 6.1756 Å
α = 60.00°, β = 60.00°, γ = 60.00°
Atoms (fractional coordinates):
Sr 0.0000 0.0000 0.0000
Sc 0.3767 0.3767 0.3767
Sc 0.3767 0.3767 0.8699
Sc 0.3767 0.8699 0.3767
Sc 0.8699 0.3767 0.3767
Cr 0.7500 0.7500 0.7500

Properties
Energy of formation from the pure elements in eV per atom: 0.5645
Theoretical density in g/cm3: 3.2
SG: F-43m
Total energy in eV/cell: -33.24

Compound: CdAgOs2
Source: Alexandria via LeMat-Bulk
Functional: PBE
Structure: optimized geometry

a = 2.8235 Å, b = 4.8607 Å, c = 10.0058 Å
α = 90.00°, β = 90.00°, γ = 90.00°
Atoms (fractional coordinates):
Cd 0.0000 0.0000 0.0000
Cd 0.5000 0.5000 0.5000
Ag 0.0000 0.5000 0.2227
Ag 0.5000 0.0000 0.7227
Os 0.0000 0.0000 0.4633
Os 0.0000 0.5000 0.7586
Os 0.5000 0.0000 0.2586
Os 0.5000 0.5000 0.9633

Properties
Energy of formation from the pure elements in eV per atom: 0.7307
Theoretical density in g/cm3: 14.5
SG: Imm2
Total energy in eV/cell: -46.61

Compound: Pr5DyGa5
Source: Alexandria via LeMat-Bulk
Functional: PBE
Structure: optimized geometry

a = 8.6781 Å, b = 8.6781 Å, c = 6.8273 Å
α = 107.26°, β = 107.26°, γ = 38.60°
Atoms (fractional coordinates):
Pr 0.0000 0.0000 0.0000
Pr 0.3070 0.3070 0.2621
Pr 0.3695 0.3695 0.7992
Pr 0.6305 0.6305 0.2008
Pr 0.6930 0.6930 0.7379
Dy 0.0000 0.0000 0.5000
Ga 0.1655 0.1655 0.8633
Ga 0.1690 0.1690 0.4687
Ga 0.5000 0.5000 0.5000
Ga 0.8310 0.8310 0.5313
Ga 0.8346 0.8346 0.1367

Properties
Energy of formation from the pure elements in eV per atom: -0.3369
Theoretical density in g/cm3: 6.6
SG: C2/m
Total energy in eV/cell: -47.34

Compound: HoZn2Ag
Source: Alexandria via LeMat-Bulk
Functional: PBE
Structure: optimized geometry

a = 4.2882 Å, b = 4.2882 Å, c = 4.3520 Å
α = 90.00°, β = 90.00°, γ = 90.00°
Atoms (fractional coordinates):
Ho 0.0000 0.0000 0.0000
Zn 0.0000 0.5000 0.5000
Zn 0.5000 0.0000 0.5000
Ag 0.5000 0.5000 0.0000

Properties
Energy of formation from the pure elements in eV per atom: -0.1696
Theoretical density in g/cm3: 8.4
SG: P4/mmm
Total energy in eV/cell: -10.66

Compound: HoHg2Pb
Source: Alexandria via LeMat-Bulk
Functional: PBE
Structure: optimized geometry

a = 3.6968 Å, b = 3.6968 Å, c = 7.7277 Å
α = 90.00°, β = 90.00°, γ = 90.00°
Atoms (fractional coordinates):
Ho 0.0000 0.0000 0.0000
Hg 0.5000 0.5000 0.2343
Hg 0.5000 0.5000 0.7657
Pb 0.0000 0.0000 0.5000

Properties
Energy of formation from the pure elements in eV per atom: -0.2689
Theoretical density in g/cm3: 12.2
SG: P4/mmm
Total energy in eV/cell: -9.97

Compound: PmY3C8
Source: Alexandria via LeMat-Bulk
Functional: PBE
Structure: optimized geometry

a = 6.3748 Å, b = 6.2060 Å, c = 6.7847 Å
α = 58.57°, β = 56.17°, γ = 65.25°
Atoms (fractional coordinates):
Pm 0.0000 0.0000 0.0000
Y 0.2753 0.2753 0.2247
Y 0.4929 0.4929 0.5071
Y 0.7753 0.7753 0.7247
C 0.0829 0.4197 0.5803
C 0.1097 0.5993 0.8903
C 0.3724 0.8745 0.1255
C 0.4197 0.0829 0.9171
C 0.5622 0.8989 0.4378
C 0.5993 0.1097 0.4007
C 0.8745 0.3724 0.6276
C 0.8989 0.5622 0.1011

Properties
Energy of formation from the pure elements in eV per atom: 0.1272
Theoretical density in g/cm3: 4.5
SG: Fmm2
Total energy in eV/cell: -96.41